Record 1
Density functional theory data (meta-GGA SCAN) for a crystal of La2AlCr relaxed with PBEsol.

- calculated formation energy (kJ/mol of atoms) = -8.9

Geometry as POSCAR:
```
La2AlCr
1.0
3.793 0.000 0.000
0.000 3.793 0.000
0.000 0.000 7.118
La Al Cr
2 1 1
Direct
0.000 0.000 0.245 La
0.000 0.000 0.755 La
0.500 0.500 0.500 Al
0.500 0.500 0.000 Cr
```



Record 2
Density functional theory data (meta-GGA SCAN) for a crystal of KSi2Mo relaxed with PBEsol.

- energy relative to the lowest polymorph listed for this composition (eV per atom) = 0.4000
- energy relative to the elements, uncorrected (eV per atom) = 0.519

Geometry as POSCAR:
```
KSi2Mo
1.0
-2.785 2.785 7.592
2.785 -2.785 7.592
2.785 2.785 -7.592
K Si Mo
2 4 2
Direct
0.375 0.625 0.750 K
0.625 0.375 0.250 K
0.000 0.000 0.000 Si
0.000 0.000 0.500 Si
0.000 0.500 0.000 Si
0.500 0.000 0.500 Si
0.125 0.875 0.250 Mo
0.875 0.125 0.750 Mo
```